NaHg3Au8 | the Alexandria database | PBE | relaxed; total DFT energy (no corrections) = -29.40 eV for the cell shown; DOS(E_F) = 2.4 states/eV/f.u.; energy relative to the elements = -0.08 eV/atom; space-group type = P1, No. 1
1.0
5.5702 0.0000 0.0000
2.6574 4.8962 0.0000
2.5001 1.4854 9.1605
Na Hg Au
1 3 8
direct
0.0000 0.0000 0.0000
0.1168 0.1162 0.6358
0.5100 0.5105 0.4936
0.6405 0.6406 0.1142
0.0449 0.5460 0.8189
0.0836 0.0834 0.3271
0.0906 0.5924 0.3023
0.3161 0.3164 0.0616
0.5468 0.0436 0.8195
0.5524 0.5513 0.7965
0.5914 0.0926 0.3026
0.8161 0.8165 0.5607